This record from Alexandria via LeMat-Bulk describes a relaxed CdCoI3 crystal. The functional is PBE. Values from VASP.

Summary:
- relative energy among the computed polymorphs (kJ/mol of atoms) = 0.00
- formation energy (no corrections) (eV/atom) = 0.187
- energy (eV/atom) = -2.348

Structure (Quantum ESPRESSO input):
```
&SYSTEM
  ibrav = 0, nat = 5, ntyp = 3
/
ATOMIC_SPECIES
I 126.90 I.upf
Co 58.93 Co.upf
Cd 112.41 Cd.upf
ATOMIC_POSITIONS crystal
I 0.0000 0.5000 0.0000
I 0.0000 0.0000 0.5000
I 0.5000 0.0000 0.0000
Co 0.0000 0.0000 0.0000
Cd 0.5000 0.5000 0.5000
CELL_PARAMETERS angstrom
5.3739 0.0000 0.0000
0.0000 5.3739 0.0000
0.0000 0.0000 5.3739
```